Material: PuHfSe
Method: DFT, PBE-GGA
State: relaxed

Lattice parameters (Å, degrees): 3.566 4.689 4.689 120.00 90.00 90.00
Site moments in Bohr magnetons follow the coordinates.
Fractional coordinates of all 3 atoms:
Hf 0.167 0.000 0.000  0.04
Se 0.167 0.333 0.667  -0.04
Pu 0.667 0.667 0.333  5.24

* V: 67.91 Å³/f.u.
* formation energy from raw total energies: -0.36 eV/atom
* total magnetic moment: 5.44 Bohr magnetons per cell
* offset from the most stable computed form: 0.84 eV per formula unit
* total DFT energy (no corrections): -28.85 eV for the cell shown